(1)
A plane-wave DFT calculation with GGA-PBE was carried out for a relaxed Ga2SnGe2 crystal. Values from VASP.

Computed properties:
calculated volume	21.8	Å³ per atom
calculated formation energy	0.17	eV per atom
total moment	0.0	μB per cell
excess energy over the best structure of this formula in the dataset	35.2	meV/atom

The structure in Quantum ESPRESSO input format:
```
&SYSTEM
  ibrav = 0, nat = 5, ntyp = 3
/
ATOMIC_SPECIES
Ge 72.64 Ge.upf
Sn 118.71 Sn.upf
Ga 69.72 Ga.upf
ATOMIC_POSITIONS crystal
Ge 0.750 0.250 0.500
Ge 0.250 0.750 0.500
Sn 0.000 0.000 0.000
Ga 0.386 0.386 0.229
Ga 0.614 0.614 0.771
CELL_PARAMETERS angstrom
-1.602 -0.124 -4.184
1.779 -4.075 -0.561
-4.495 -4.350 -0.551
```

(2)
A plane-wave DFT calculation with GGA-PBE was carried out for a relaxed In2SnPb2 crystal. Values from VASP.

Computed properties:
calculated volume	30.3	Å³ per atom
calculated formation energy	0.12	eV per atom
total moment	0.0	μB per cell
excess energy over the best structure of this formula in the dataset	92.8	meV/atom

The structure in Quantum ESPRESSO input format:
```
&SYSTEM
  ibrav = 0, nat = 10, ntyp = 3
/
ATOMIC_SPECIES
Pb 207.20 Pb.upf
Sn 118.71 Sn.upf
In 114.82 In.upf
ATOMIC_POSITIONS crystal
Pb 0.328 0.828 0.000
Pb 0.828 0.672 0.000
Pb 0.672 0.172 0.000
Pb 0.172 0.328 0.000
Sn 0.000 0.000 0.000
Sn 0.500 0.500 0.000
In 0.127 0.627 0.500
In 0.627 0.873 0.500
In 0.873 0.373 0.500
In 0.373 0.127 0.500
CELL_PARAMETERS angstrom
-2.705 6.822 5.595
-1.605 -6.135 6.705
3.340 0.382 1.149
```